## ZrOsPd2O (PBE)

Data for a geometry-optimized ZrOsPd2O structure.

Total magnetization in μB per cell: 0.00
Total DFT energy (no corrections) in eV per atom: -5.8272

Lattice parameters (Å, degrees): 4.7670 4.7670 4.9855 90.00 90.00 90.00
Space group P4/mmm (No. 123)
Asymmetric unit:
Zr (0.0000, 0.0000, 0.0000) (multiplicity 1)
Os (0.0000, 0.0000, 0.5000) (multiplicity 1)
Pd (0.0000, 0.5000, 0.5000) (multiplicity 2)
O (0.5000, 0.5000, 0.0000) (multiplicity 1)